Record 1
First-principles (PBE) data for crystalline AcPrBeZn at its relaxed geometry, as listed in Alexandria via LeMat-Bulk.

Cell lengths 5.288, 5.288, 5.288 Å; angles 60.00, 60.00, 60.00 degrees
Fractional positions:
Pr (0.250, 0.250, 0.250)
Be (0.500, 0.500, 0.500)
Ac (0.750, 0.750, 0.750)
Zn (0.000, 0.000, 0.000)

Calculated values
Density of states at the Fermi level ... 3.5 states/eV/f.u.
Theoretical density ... 7.0 g/cm³
Energy of formation from the pure elements ... 37 meV per atom
Space group ... F-43m, No. 216



Record 2
First-principles (PBE) data for crystalline Dy5Ge2Se2 at its relaxed geometry, as listed in Alexandria via LeMat-Bulk.

Cell lengths 7.727, 7.639, 8.228 Å; angles 117.66, 90.00, 90.00 degrees
Fractional positions:
Ge (0.137, 0.638, 0.000)
Dy (0.000, 0.000, 0.000)
Dy (0.661, 0.031, 0.732)
Dy (0.661, 0.299, 0.268)
Dy (0.839, 0.799, 0.268)
Dy (0.339, 0.969, 0.268)
Dy (0.161, 0.201, 0.732)
Ge (0.863, 0.362, 0.000)
Ge (0.363, 0.138, 0.000)
Dy (0.339, 0.701, 0.732)
Se (0.500, 0.300, 0.601)
Se (0.000, 0.200, 0.399)
Se (0.500, 0.700, 0.399)
Dy (0.500, 0.500, 0.000)
Dy (0.839, 0.531, 0.732)
Dy (0.161, 0.469, 0.268)
Se (0.000, 0.800, 0.601)
Ge (0.637, 0.862, 0.000)

Calculated values
Density of states at the Fermi level ... 6.9 states/eV/f.u.
Formation energy without anion corrections ... -114.4 kJ per mole of atoms
Theoretical density ... 8.6 g/cm³
Space group ... Cmce, No. 64



Record 3
First-principles (PBE) data for crystalline Co2RhW at its relaxed geometry, as listed in Alexandria via LeMat-Bulk.

Cell lengths 6.574, 6.574, 5.314 Å; angles 51.79, 51.79, 90.00 degrees
Fractional positions:
Rh (0.250, 0.750, 0.500)
Co (0.107, 0.625, 0.250)
Rh (0.500, 0.500, 0.000)
Co (0.643, 0.125, 0.250)
Co (0.875, 0.893, 0.750)
Co (0.375, 0.357, 0.750)
W (0.750, 0.250, 0.500)
W (0.000, 0.000, 0.000)

Calculated values
Density of states at the Fermi level ... 5.3 states/eV/f.u.
Relative energy among the computed polymorphs ... 607 meV per atom
Theoretical density ... 12.1 g/cm³
Energy of formation from the pure elements ... 531 meV per atom
Space group ... I-42d, No. 122